Record 1
2
Lattice="-0.7732 -4.1220 -3.2998 -4.8755 -2.0983 -0.5515 -2.7045 0.6936 -4.5477" Properties=species:S:1:pos:R:3 comment="CsHf, optimized geometry, DFT PBE-GGA" spacegroup=Fm-3m polymorph_energy_mev_per_atom=11 energy_ev_per_atom=-2.89 volume_a3_per_atom=53.73 pbc="T T T"
Cs 0.0000 0.0000 0.0000
Hf -4.1765 -2.7633 -4.1995


Record 2
9
Lattice="2.8996 0.0000 0.0000 0.0000 8.9843 5.2209 0.0000 -8.9843 5.2209" Properties=species:S:1:pos:R:3 comment="CsHf8, optimized geometry, DFT PBE-GGA" spacegroup=Amm2 energy_ev_per_atom=-7.23 volume_a3_per_atom=30.22 pbc="T T T"
Hf 1.4498 -1.5600 2.7470
Hf 1.4498 -5.8497 5.2487
Hf 1.4498 1.5600 2.7470
Hf 1.4498 2.9733 5.2113
Hf 1.4498 -2.9733 5.2113
Hf 1.4498 1.5308 7.6747
Hf 1.4498 5.8497 5.2487
Hf 1.4498 -1.5308 7.6747
Cs 0.0000 0.0000 0.0032


Record 3
3
Lattice="-0.4167 -0.3575 5.4256 -4.8993 -0.5654 2.3270 -1.3855 -4.7357 2.3221" Properties=species:S:1:pos:R:3 comment="CsHfHg, optimized geometry, DFT PBE-GGA" spacegroup=F-43m polymorph_energy_mev_per_atom=371 energy_ev_per_atom=-2.06 volume_a3_per_atom=38.22 pbc="T T T"
Hf -1.6754 -1.4146 2.5187
Hg -5.0261 -4.2439 7.5560
Cs 0.0000 0.0000 0.0000


Record 4
3
Lattice="-0.2587 -2.1184 4.9617 -4.7104 -0.1273 2.6399 -2.5223 -4.7089 0.7978" Properties=species:S:1:pos:R:3 comment="CsHfHg, optimized geometry, DFT PBE-GGA" spacegroup=F-43m polymorph_energy_mev_per_atom=0 energy_ev_per_atom=-2.43 volume_a3_per_atom=37.14 pbc="T T T"
Hf -5.6185 -5.2159 6.2995
Hg 0.0000 0.0000 0.0000
Cs -1.8728 -1.7386 2.0998


Record 5
15
Lattice="-3.5423 2.4186 5.2997 6.9818 -3.0896 2.8424 1.9160 8.4861 -3.2529" Properties=species:S:1:pos:R:3 comment="Cs2Hf2Hg3S8, optimized geometry, DFT PBE-GGA" spacegroup=P-1 energy_ev_per_atom=-4.62 volume_a3_per_atom=30.89 pbc="T T T"
S 1.2327 4.5493 1.8752
S 5.2806 -0.9783 3.5820
S 7.1004 3.0868 0.7488
S -1.7450 4.7283 4.1404
S 1.5359 0.6529 2.3818
S 0.0748 8.7934 1.3072
S 4.1227 3.2658 3.0140
S 3.8195 7.1622 2.5074
Hf 0.6653 2.3773 0.9686
Hf 4.6901 5.4377 3.9207
Cs 1.1169 2.6142 5.4441
Cs 4.2385 5.2008 -0.5548
Hg -0.8132 5.4524 1.0234
Hg 1.1647 8.1673 -1.1045
Hg 4.1906 -0.3522 5.9937


Record 6
18
Lattice="-0.3404 1.9261 -6.8075 5.3085 -5.4014 -1.7937 -7.2608 -7.4464 0.9349" Properties=species:S:1:pos:R:3 comment="CsHfHg3S4, optimized geometry, DFT PBE-GGA" spacegroup=P2_1/m polymorph_energy_mev_per_atom=0 energy_ev_per_atom=-3.85 volume_a3_per_atom=30.99 pbc="T T T"
Hg 1.9087 -1.3638 -5.5776
Hg -4.2014 -9.5579 -2.0887
Hg -4.7086 -6.3024 -3.3988
Hg -2.0349 -11.7622 -2.8207
Hg -0.2578 0.8405 -4.8456
Hg 2.4159 -4.6192 -4.2674
S 0.2664 -3.4532 -5.9489
S 1.1572 -6.3090 -2.9040
S -5.9369 -8.5985 -0.1199
S -5.1344 -4.8481 -0.8472
S -2.5591 -7.4685 -1.7173
S -3.4499 -4.6127 -4.7623
S 3.6442 -2.3231 -7.5464
S 2.8417 -6.0736 -6.8191
Cs -1.5086 -3.6679 -1.8618
Cs -0.7841 -7.2537 -5.8044
Hf 1.9011 -4.0212 -7.5916
Hf -4.1938 -6.9004 -0.0747


Record 7
9
Lattice="6.9148 0.0000 0.0000 0.0000 6.9148 0.0000 0.0000 0.0000 6.9148" Properties=species:S:1:pos:R:3 comment="CsHfHg3S4, optimized geometry, DFT PBE-GGA" spacegroup=P-43m polymorph_energy_mev_per_atom=129 energy_ev_per_atom=-3.72 volume_a3_per_atom=36.74 pbc="T T T"
S 4.8547 2.0601 4.8547
S 2.0601 2.0601 2.0601
S 4.8547 4.8547 2.0601
S 2.0601 4.8547 4.8547
Cs 0.0000 0.0000 0.0000
Hg 3.4574 0.0000 3.4574
Hg 3.4574 3.4574 0.0000
Hg 0.0000 3.4574 3.4574
Hf 3.4574 3.4574 3.4574


Record 8
9
Lattice="-4.3910 5.2295 -1.8732 -4.8055 -4.7738 -2.0626 -2.7863 -0.0078 6.5095" Properties=species:S:1:pos:R:3 comment="CsHfHg3Se4, optimized geometry, DFT PBE-GGA" spacegroup=P-43m energy_ev_per_atom=-3.41 volume_a3_per_atom=39.45 pbc="T T T"
Hg -4.5983 0.2278 -1.9679
Hg -3.7959 -2.3908 2.2234
Hg -3.5886 2.6108 2.3182
Se -7.3181 0.3198 -0.8750
Se -6.4823 2.2926 2.6733
Se -6.6538 -1.8480 2.5949
Se -3.5114 0.1312 0.7542
Cs 0.0000 0.0000 0.0000
Hf -5.9914 0.2239 1.2869


Record 9
18
Lattice="-5.2202 2.5496 3.1906 -2.6234 -7.9950 2.0967 7.3621 0.0649 9.4589" Properties=species:S:1:pos:R:3 comment="CsHfHg3Te4, optimized geometry, DFT PBE-GGA" spacegroup=P2_1/m polymorph_energy_mev_per_atom=0 energy_ev_per_atom=-3.15 volume_a3_per_atom=38.08 pbc="T T T"
Te -1.6227 -1.3198 1.9034
Te 4.1814 0.5853 7.8967
Te -4.6629 -5.9659 6.8495
Te 2.9331 -3.2191 8.8944
Te 0.9997 -1.2017 5.6348
Te -1.4811 -4.1788 9.1114
Te 1.1412 -4.0607 12.8428
Te -3.4145 -2.1614 5.8517
Hg -0.3997 1.3693 7.8117
Hg -1.2593 -1.2504 8.4987
Hg -1.4854 -3.4334 11.9485
Hg 1.0040 -1.9472 2.7977
Hg -0.0818 -6.7498 6.9345
Hg 0.7778 -4.1302 6.2474
Hf 1.0611 -4.7288 10.1950
Hf -1.5425 -0.6517 4.5512
Cs -2.3339 -5.3601 3.5400
Cs 1.8524 -0.0204 11.2062


Record 10
9
Lattice="-1.3336 5.2393 5.1582 -7.2475 -1.8191 -0.0261 1.2375 -5.0076 5.4063" Properties=species:S:1:pos:R:3 comment="CsHfHg3Te4, optimized geometry, DFT PBE-GGA" spacegroup=P-43m polymorph_energy_mev_per_atom=105 energy_ev_per_atom=-3.04 volume_a3_per_atom=46.36 pbc="T T T"
Te -5.7491 0.9893 5.2112
Te -2.1181 -0.4579 3.0396
Te -2.1588 -0.3598 7.5099
Te -4.6612 -3.3465 5.3162
Hf -3.6718 -0.7937 5.2692
Hg -0.0481 0.1158 5.2822
Hg -3.0050 -3.4134 2.6901
Hg -4.2905 1.7101 2.5661
Cs 0.0000 0.0000 0.0000


Record 11
10
Lattice="7.9564 -2.3846 -0.8799 4.1381 -3.2202 6.5017 1.9616 -8.1184 0.0958" Properties=species:S:1:pos:R:3 comment="Cs2LiHfI6, optimized geometry, DFT PBE-GGA" spacegroup=Fm-3m energy_ev_per_atom=-3.42 volume_a3_per_atom=41.20 pbc="T T T"
Li 7.0281 -6.8616 2.8588
Cs 10.5421 -10.2924 4.2882
Cs 3.5140 -3.4308 1.4294
I 8.4990 -8.7150 1.0046
I 9.6068 -6.2219 4.2651
I 4.4494 -7.5013 1.4525
I 6.5556 -9.1403 4.7617
I 7.5006 -4.5829 0.9559
I 5.5571 -5.0082 4.7129
Hf 0.0000 0.0000 0.0000


Record 12
3
Lattice="-1.0688 -5.1291 -0.4639 -0.1546 -3.0519 4.2810 -4.5975 -1.8939 1.7149" Properties=species:S:1:pos:R:3 comment="CsHfIn, optimized geometry, DFT PBE-GGA" spacegroup=F-43m polymorph_energy_mev_per_atom=0 energy_ev_per_atom=-3.43 volume_a3_per_atom=34.30 pbc="T T T"
Hf 0.0000 0.0000 0.0000
Cs -1.4552 -2.5187 1.3830
In -4.3657 -7.5561 4.1490


Record 13
3
Lattice="-4.4456 0.9827 2.8719 -3.1922 4.1316 -1.3103 -4.8496 -0.9211 -2.1470" Properties=species:S:1:pos:R:3 comment="CsHfIn, optimized geometry, DFT PBE-GGA" spacegroup=F-43m polymorph_energy_mev_per_atom=580 energy_ev_per_atom=-2.85 volume_a3_per_atom=36.77 pbc="T T T"
Hf -3.1218 1.0483 -0.1464
In -9.3656 3.1450 -0.4391
Cs 0.0000 0.0000 0.0000


Record 14
3
Lattice="2.7067 -4.0385 0.3696 1.0224 -1.8561 4.3911 -2.0534 -4.1900 1.4139" Properties=species:S:1:pos:R:3 comment="CsHfIr, optimized geometry, DFT PBE-GGA" spacegroup=F-43m polymorph_energy_mev_per_atom=0 energy_ev_per_atom=-5.53 volume_a3_per_atom=27.32 pbc="T T T"
Hf 1.2568 -7.5634 4.6309
Cs 0.4189 -2.5211 1.5437
Ir 0.0000 0.0000 0.0000


Record 15
3
Lattice="-3.3609 -2.8294 -1.6726 -3.9676 -0.6347 2.4401 -4.0404 1.8210 -1.5678" Properties=species:S:1:pos:R:3 comment="CsHfIr, optimized geometry, DFT PBE-GGA" spacegroup=F-43m polymorph_energy_mev_per_atom=991 energy_ev_per_atom=-4.54 volume_a3_per_atom=24.49 pbc="T T T"
Cs 0.0000 0.0000 0.0000
Ir -8.5267 -1.2324 -0.6002
Hf -2.8423 -0.4108 -0.2001


Record 16
3
Lattice="1.6541 -0.7879 6.0540 3.0299 4.6211 3.0778 -2.9701 3.2530 4.5392" Properties=species:S:1:pos:R:3 comment="CsKHf, optimized geometry, DFT PBE-GGA" spacegroup=F-43m polymorph_energy_mev_per_atom=91 energy_ev_per_atom=-2.22 volume_a3_per_atom=59.65 pbc="T T T"
Cs 0.0000 0.0000 0.0000
Hf 0.4285 1.7715 3.4177
K 1.2854 5.3146 10.2532


Record 17
3
Lattice="0.0000 4.5575 4.5575 4.5575 0.0000 4.5575 4.5575 4.5575 0.0000" Properties=species:S:1:pos:R:3 comment="CsKHf, optimized geometry, DFT PBE-GGA" spacegroup=F-43m polymorph_energy_mev_per_atom=0 energy_ev_per_atom=-2.31 volume_a3_per_atom=63.11 pbc="T T T"
Cs 2.2788 2.2788 2.2788
Hf 0.0000 0.0000 0.0000
K 6.8363 6.8363 6.8363


Record 18
24
Lattice="15.1383 0.0000 0.0000 0.0000 3.8504 0.0000 0.0000 0.0000 11.7806" Properties=species:S:1:pos:R:3 comment="CsKHfS3, optimized geometry, DFT PBE-GGA" spacegroup=Pnma energy_ev_per_atom=-5.47 volume_a3_per_atom=28.61 pbc="T T T"
S 8.2040 2.8878 7.1697
S 1.2917 2.8878 3.7889
S 4.7336 2.8878 6.8613
S 13.8466 0.9626 7.9917
S 12.3028 2.8878 10.8096
S 0.6348 2.8878 10.5011
S 6.9344 0.9626 4.6109
S 2.8356 0.9626 0.9710
S 10.4047 0.9626 4.9193
S 14.5035 0.9626 1.2794
S 6.2774 0.9626 9.6792
S 8.8609 2.8878 2.1014
Hf 8.7247 2.8878 4.5134
Hf 1.1555 2.8878 1.3769
Hf 6.4136 0.9626 7.2672
Hf 13.9828 0.9626 10.4037
Cs 1.3081 2.8878 7.2521
Cs 8.8772 2.8878 10.4188
Cs 13.8303 0.9626 4.5285
Cs 6.2611 0.9626 1.3618
K 3.8885 2.8878 10.1685
K 3.6807 0.9626 4.2782
K 11.2499 0.9626 1.6121
K 11.4577 2.8878 7.5024


Record 19
3
Lattice="-4.9140 -0.0300 2.0421 -4.1787 1.1012 -3.1055 -3.4128 -3.8585 -1.3355" Properties=species:S:1:pos:R:3 comment="CsLiHf, optimized geometry, DFT PBE-GGA" spacegroup=F-43m polymorph_energy_mev_per_atom=243 energy_ev_per_atom=-2.41 volume_a3_per_atom=35.52 pbc="T T T"
Cs 0.0000 0.0000 0.0000
Li -9.3791 -2.0905 -1.7992
Hf -3.1264 -0.6968 -0.5997


Record 20
3
Lattice="0.5060 -1.8416 5.1047 -3.8235 -3.2593 2.1127 1.0992 -5.2615 0.9025" Properties=species:S:1:pos:R:3 comment="CsLiHf, optimized geometry, DFT PBE-GGA" spacegroup=F-43m polymorph_energy_mev_per_atom=0 energy_ev_per_atom=-2.65 volume_a3_per_atom=38.16 pbc="T T T"
Cs -0.5546 -2.5906 2.0300
Hf -1.6637 -7.7718 6.0900
Li 0.0000 0.0000 0.0000